(1)
Compound: Cs3KCd
Source: the Alexandria database
Functional: meta-GGA SCAN
Structure: PBEsol geometry

Summary:
energy of formation	340.8	meV/atom
raw total energy	-30.0941	eV/atom
calculated volume	112.1	A^3/atom

```
data_Cs3KCd
_chemical_formula_sum 'Cs3 K1 Cd1'
_cell_length_a 8.245
_cell_length_b 8.245
_cell_length_c 8.245
_cell_angle_alpha 90.00
_cell_angle_beta 90.00
_cell_angle_gamma 90.00
_symmetry_space_group_name_H-M 'P m -3 m'
_symmetry_Int_Tables_number 221
_symmetry_space_group_name_Hall '-P 4 2 3'
loop_
_atom_site_label
_atom_site_type_symbol
_atom_site_fract_x
_atom_site_fract_y
_atom_site_fract_z
_atom_site_occupancy
Cs1 Cs 0.000 0.000 0.500 1
K1 K 0.000 0.000 0.000 1
Cd1 Cd 0.500 0.500 0.500 1
```



(2)
Compound: Cs3KCd
Source: the Alexandria database
Functional: meta-GGA SCAN
Structure: PBEsol geometry

Summary:
energy of formation	38.4	meV/atom
raw total energy	-30.3965	eV/atom
calculated volume	82.0	A^3/atom

```
data_Cs3KCd
_chemical_formula_sum 'Cs3 K1 Cd1'
_cell_length_a 7.430
_cell_length_b 7.430
_cell_length_c 7.430
_cell_angle_alpha 90.00
_cell_angle_beta 90.00
_cell_angle_gamma 90.00
_symmetry_space_group_name_H-M 'P m -3 m'
_symmetry_Int_Tables_number 221
_symmetry_space_group_name_Hall '-P 4 2 3'
loop_
_atom_site_label
_atom_site_type_symbol
_atom_site_fract_x
_atom_site_fract_y
_atom_site_fract_z
_atom_site_occupancy
Cs1 Cs 0.000 0.000 0.500 1
K1 K 0.500 0.500 0.500 1
Cd1 Cd 0.000 0.000 0.000 1
```



(3)
Compound: CsK3Cd
Source: the Alexandria database
Functional: meta-GGA SCAN
Structure: PBEsol geometry

Summary:
energy of formation	11.2	meV/atom
raw total energy	-18.6311	eV/atom
calculated volume	66.2	A^3/atom

```
data_CsK3Cd
_chemical_formula_sum 'Cs1 K3 Cd1'
_cell_length_a 6.916
_cell_length_b 6.916
_cell_length_c 6.916
_cell_angle_alpha 90.00
_cell_angle_beta 90.00
_cell_angle_gamma 90.00
_symmetry_space_group_name_H-M 'P m -3 m'
_symmetry_Int_Tables_number 221
_symmetry_space_group_name_Hall '-P 4 2 3'
loop_
_atom_site_label
_atom_site_type_symbol
_atom_site_fract_x
_atom_site_fract_y
_atom_site_fract_z
_atom_site_occupancy
Cs1 Cs 0.000 0.000 0.000 1
K1 K 0.000 0.500 0.500 1
Cd1 Cd 0.500 0.500 0.500 1
```